Entry 1:
This record from the Alexandria database describes a relaxed structure of Pm5TmZn6. The functional is PBE-GGA.

Values from the calculation:
The value obtained for the final energy is -3.307 eV per atom. Its total magnetization is 0.00 μB/cell. Its space group is Cmmm, No. 65.

Cell lengths 5.125, 7.279, 8.142 Å; angles 90.00, 71.65, 90.00 degrees
Positions (direct):
Zn 0.838 0.756 0.325
Zn 0.838 0.244 0.325
Zn 0.500 0.242 0.000
Zn 0.500 0.758 0.000
Zn 0.162 0.756 0.675
Zn 0.162 0.244 0.675
Tm 0.000 0.000 0.000
Pm 0.669 0.500 0.662
Pm 0.335 0.000 0.330
Pm 0.000 0.500 0.000
Pm 0.665 0.000 0.670
Pm 0.331 0.500 0.338

Entry 2:
This record from the Alexandria database describes a relaxed structure of PmTmZn. The functional is PBE-GGA.

Values from the calculation:
Its total magnetization is 0.00 μB/cell. Its space group is Pnma, No. 62. For the excess energy over the best structure of this formula in the dataset, the calculation gives 231 meV per atom.

Cell lengths 4.953, 7.045, 9.988 Å; angles 90.00, 90.00, 90.00 degrees
Positions (direct):
Pm 0.750 0.002 0.134
Pm 0.250 0.502 0.366
Pm 0.250 0.998 0.866
Pm 0.750 0.498 0.634
Zn 0.750 0.753 0.376
Zn 0.250 0.253 0.124
Zn 0.250 0.247 0.624
Zn 0.750 0.747 0.876
Tm 0.750 0.503 0.118
Tm 0.250 0.003 0.382
Tm 0.250 0.497 0.882
Tm 0.750 0.997 0.618

Entry 3:
This record from the Alexandria database describes a relaxed structure of Pm3Tm2Zn2. The functional is PBE-GGA.

Values from the calculation:
Its total magnetization is 0.00 μB/cell. Its space group is C2/m, No. 12. For the excess energy over the best structure of this formula in the dataset, the calculation gives 0 meV per atom.

Cell lengths 3.725, 6.745, 9.069 Å; angles 114.40, 90.00, 106.03 degrees
Positions (direct):
Pm 0.500 0.000 0.000
Pm 0.607 0.215 0.438
Pm 0.393 0.785 0.562
Tm 0.849 0.698 0.184
Tm 0.151 0.302 0.816
Zn 0.816 0.632 0.779
Zn 0.184 0.368 0.221

Entry 4:
This record from the Alexandria database describes a relaxed structure of Pm2TmZn4. The functional is PBE-GGA.

Values from the calculation:
The value obtained for the final energy is -2.835 eV per atom. Its total magnetization is 0.00 μB/cell. Its space group is R-3m, No. 166.

Cell lengths 4.955, 4.955, 8.812 Å; angles 73.67, 73.67, 60.00 degrees
Positions (direct):
Pm 0.755 0.755 0.735
Pm 0.245 0.245 0.265
Tm 0.000 0.000 0.000
Zn 0.876 0.876 0.372
Zn 0.124 0.124 0.628
Zn 0.628 0.628 0.115
Zn 0.372 0.372 0.885